A geometry-optimized NdHo2Cu2Si2 structure. Source: Alexandria, functional PBE-GGA.

abc: 9.7247 9.7247 9.7247
angles: 25.14 25.14 25.14
Element x y z (fractional)
Nd 0.0000 0.0000 0.0000
Ho 0.1276 0.1276 0.1276
Ho 0.8724 0.8724 0.8724
Cu 0.4046 0.4046 0.4046
Cu 0.5954 0.5954 0.5954
Si 0.2600 0.2600 0.2600
Si 0.7400 0.7400 0.7400

Output
SG = No. 166
calculated total energy = -5.19 eV per atom
size of the total moment = 0.0 Bohr magnetons per cell

---

A geometry-optimized NbGaSi3 structure. Source: Alexandria, functional PBE-GGA.

abc: 4.9001 4.9001 4.9001
angles: 90.00 90.00 90.00
Element x y z (fractional)
Nb 0.0000 0.0000 0.0000
Ga 0.5000 0.5000 0.5000
Si 0.0000 0.0000 0.5000
Si 0.0000 0.5000 0.0000
Si 0.5000 0.0000 0.0000

Output
SG = No. 221
calculated total energy = -5.30 eV per atom
size of the total moment = 0.0 Bohr magnetons per cell
energy above the lowest structure with this stoichiometry = 0.0 meV per atom

---

- What is the formula in the first record?
  NdHo2Cu2Si2

---

- calculated total energy of number 2 (NbGaSi3)?
  -5.30 eV per atom